(1)
VASP calculation (PBE-GGA) on a relaxed Pm3Er3Tm crystal.

abc: 9.568 9.568 5.712
angles: 90.00 90.00 120.00
Atoms (fractional coordinates):
Pm 0.049 0.806 0.250
Pm 0.194 0.243 0.250
Pm 0.243 0.049 0.750
Pm 0.757 0.951 0.250
Pm 0.806 0.757 0.750
Pm 0.951 0.194 0.750
Er 0.095 0.617 0.750
Er 0.383 0.478 0.750
Er 0.478 0.095 0.250
Er 0.522 0.905 0.750
Er 0.617 0.522 0.250
Er 0.905 0.383 0.250
Tm 0.333 0.667 0.250
Tm 0.667 0.333 0.750

- Energy of formation from the pure elements: 0.0179 eV/atom

(2)
VASP calculation (PBE-GGA) on a relaxed Zn2CuReRh crystal.

abc: 4.298 4.298 4.607
angles: 90.00 90.00 90.00
Atoms (fractional coordinates):
Zn 0.000 0.500 0.000
Zn 0.500 0.000 0.000
Cu 0.000 0.000 0.000
Re 0.000 0.000 0.500
Rh 0.500 0.500 0.500

- Energy of formation from the pure elements: 1.1216 eV/atom

(3)
VASP calculation (PBE-GGA) on a relaxed Pm3Ni8Pd crystal.

abc: 8.788 8.788 8.788
angles: 33.38 33.38 33.38
Atoms (fractional coordinates):
Pm 0.000 0.000 0.000
Pm 0.130 0.130 0.130
Pm 0.612 0.612 0.612
Ni 0.058 0.058 0.563
Ni 0.058 0.563 0.058
Ni 0.063 0.561 0.561
Ni 0.310 0.310 0.310
Ni 0.561 0.063 0.561
Ni 0.561 0.561 0.063
Ni 0.563 0.058 0.058
Ni 0.810 0.810 0.810
Pd 0.492 0.492 0.492

- Energy of formation from the pure elements: -0.3419 eV/atom

(4)
VASP calculation (PBE-GGA) on a relaxed PPbAu2 crystal.

abc: 3.373 5.378 9.378
angles: 90.00 90.00 90.00
Atoms (fractional coordinates):
P 0.000 0.000 0.000
P 0.500 0.500 0.500
Pb 0.000 0.000 0.500
Pb 0.500 0.500 0.000
Au 0.000 0.500 0.290
Au 0.000 0.500 0.710
Au 0.500 0.000 0.210
Au 0.500 0.000 0.790

- Energy of formation from the pure elements: 0.2376 eV/atom

(5)
VASP calculation (PBE-GGA) on a relaxed PmNdTlGa crystal.

abc: 7.594 7.594 7.594
angles: 90.00 90.00 90.00
Atoms (fractional coordinates):
Pm 0.000 0.000 0.000
Pm 0.000 0.500 0.500
Pm 0.500 0.000 0.500
Pm 0.500 0.500 0.000
Nd 0.000 0.000 0.500
Nd 0.000 0.500 0.000
Nd 0.500 0.000 0.000
Nd 0.500 0.500 0.500
Tl 0.250 0.250 0.750
Tl 0.250 0.750 0.250
Tl 0.750 0.250 0.250
Tl 0.750 0.750 0.750
Ga 0.250 0.250 0.250
Ga 0.250 0.750 0.750
Ga 0.750 0.250 0.750
Ga 0.750 0.750 0.250

- Energy of formation from the pure elements: -0.4434 eV/atom

(6)
VASP calculation (PBE-GGA) on a relaxed TaCrSe crystal.

abc: 4.183 4.183 3.057
angles: 90.00 90.00 120.00
Atoms (fractional coordinates):
Ta 0.000 0.000 0.000
Cr 0.667 0.333 0.398
Se 0.333 0.667 0.436

- Formation energy without anion corrections: 0.135 eV per atom

(7)
VASP calculation (PBE-GGA) on a relaxed KZrBeCu2 crystal.

abc: 5.126 5.126 5.103
angles: 90.00 90.00 90.00
Atoms (fractional coordinates):
K 0.000 0.000 0.000
Zr 0.500 0.500 0.500
Be 0.500 0.500 0.000
Cu 0.000 0.500 0.500
Cu 0.500 0.000 0.500

- Energy of formation from the pure elements: 1.0249 eV/atom

(8)
VASP calculation (PBE-GGA) on a relaxed Zr2TlTe crystal.

abc: 6.311 6.311 13.878
angles: 90.00 90.00 90.00
Atoms (fractional coordinates):
Zr 0.239 0.250 0.125
Zr 0.250 0.739 0.375
Zr 0.250 0.761 0.875
Zr 0.261 0.250 0.625
Zr 0.739 0.750 0.625
Zr 0.750 0.239 0.875
Zr 0.750 0.261 0.375
Zr 0.761 0.750 0.125
Tl 0.000 0.000 0.000
Tl 0.000 0.500 0.250
Tl 0.500 0.000 0.750
Tl 0.500 0.500 0.500
Te 0.000 0.000 0.500
Te 0.000 0.500 0.750
Te 0.500 0.000 0.250
Te 0.500 0.500 0.000

- Formation energy without anion corrections: 0.451 eV per atom

(9)
VASP calculation (PBE-GGA) on a relaxed PmPuAl2 crystal.

abc: 3.230 3.230 8.976
angles: 90.00 90.00 90.00
Atoms (fractional coordinates):
Pm 0.000 0.000 0.000
Pu 0.000 0.000 0.500
Al 0.500 0.500 0.256
Al 0.500 0.500 0.744

- Energy of formation from the pure elements: -0.2183 eV/atom

(10)
VASP calculation (PBE-GGA) on a relaxed La6CeNdTm2 crystal.

abc: 6.997 6.997 9.052
angles: 107.48 107.48 58.55
Atoms (fractional coordinates):
La 0.092 0.612 0.689
La 0.164 0.164 0.918
La 0.388 0.908 0.311
La 0.612 0.092 0.689
La 0.836 0.836 0.082
La 0.908 0.388 0.311
Ce 0.000 0.000 0.500
Nd 0.500 0.500 0.000
Tm 0.399 0.399 0.322
Tm 0.601 0.601 0.678

- Energy of formation from the pure elements: 0.2199 eV/atom